Mg7Tl2Au | PBE | optimized geometry

Properties
- ρ (g cm⁻³) = 5.7
- energy relative to the elements (eV/atom) = -0.173
- VASP energy (eV per atom) = -2.0905
- D(E_F) (states/eV/atom) = 0.30
- SG = C2/c
- V (Å³ per cell) = 452.7

a b c (Å): 8.2650 8.6700 8.3506
angles (deg): 70.01 60.34 61.53
Atoms (fractional coordinates):
Au (0.0019, 0.2500, 0.7500)
Au (0.9981, 0.7500, 0.2500)
Mg (0.8629, 0.7002, 0.0360)
Mg (0.7673, 0.0918, 0.0866)
Mg (0.3484, 0.7500, 0.2500)
Mg (0.3279, 0.4530, 0.1333)
Mg (0.9142, 0.0470, 0.3667)
Mg (0.5992, 0.7998, 0.4640)
Mg (0.1371, 0.2998, 0.9640)
Mg (0.2327, 0.9082, 0.9134)
Mg (0.6721, 0.5470, 0.8667)
Mg (0.0858, 0.9530, 0.6333)
Mg (0.4008, 0.2002, 0.5360)
Mg (0.6516, 0.2500, 0.7500)
Mg (0.9457, 0.4082, 0.4134)
Mg (0.0543, 0.5918, 0.5866)
Tl (0.3313, 0.5866, 0.7305)
Tl (0.3517, 0.0866, 0.2305)
Tl (0.6483, 0.9134, 0.7695)
Tl (0.6687, 0.4134, 0.2695)

---

Pm5Nd5Sb6 | PBE | optimized geometry

Properties
- ρ (g cm⁻³) = 7.4
- VASP energy (eV per atom) = -5.4928
- D(E_F) (states/eV/atom) = 1.14
- energy relative to the elements, uncorrected (eV/atom) = -0.972
- SG = Amm2
- V (Å³ per cell) = 487.1

a b c (Å): 6.5030 9.2963 9.2963
angles (deg): 119.92 90.00 90.00
Last column: magnetic moment on the atom in μB.
Atoms (fractional coordinates):
Pm (0.7500, 0.6670, 0.3332)  0.14
Pm (0.2500, 0.6670, 0.3332)  0.14
Pm (0.2500, 0.3332, 0.6670)  0.14
Pm (0.7500, 0.3332, 0.6670)  0.14
Pm (0.0000, 0.2503, 0.2503)  0.02
Sb (0.0000, 0.6113, 0.6113)  0.00
Sb (0.5000, 0.6122, 0.0001)  0.00
Sb (0.5000, 0.3879, 0.3879)  0.00
Sb (0.0000, 0.3874, 0.0008)  0.00
Sb (0.0000, 0.0008, 0.3874)  0.00
Sb (0.5000, 0.0001, 0.6122)  0.00
Nd (0.5000, 0.0003, 0.2493)  0.02
Nd (0.0000, 0.7505, 0.9998)  0.02
Nd (0.0000, 0.9998, 0.7505)  0.02
Nd (0.5000, 0.2493, 0.0003)  0.02
Nd (0.5000, 0.7498, 0.7498)  0.02

---

RuBr2 | PBE | optimized geometry

Properties
- ρ (g cm⁻³) = 5.3
- VASP energy (eV per atom) = -4.0663
- D(E_F) (states/eV/atom) = 0.88
- energy above the lowest structure with this stoichiometry (meV/atom) = 206.3
- energy relative to the elements, uncorrected (eV/atom) = 0.141
- SG = Cmmm
- V (Å³ per cell) = 82.1

a b c (Å): 7.3221 7.3221 3.1518
angles (deg): 90.00 90.00 150.94
Atoms (fractional coordinates):
Br (0.6159, 0.3841, 0.0000)
Br (0.3841, 0.6159, 0.0000)
Ru (0.0000, 0.0000, 0.0000)

---

La2DyP3Rh12 | PBE | optimized geometry

Properties
- ρ (g cm⁻³) = 9.6
- energy relative to the elements (eV/atom) = -0.380
- VASP energy (eV per atom) = -6.9860
- D(E_F) (states/eV/atom) = 1.00
- SG = R-3m
- V (Å³ per cell) = 305.3

a b c (Å): 6.7974 6.7974 6.7974
angles (deg): 81.81 81.81 81.81
Atoms (fractional coordinates):
Rh (0.1776, 0.6526, 0.1776)
Rh (0.8224, 0.3474, 0.8224)
Rh (0.6502, 0.0837, 0.6502)
Rh (0.8224, 0.8224, 0.3474)
Rh (0.6526, 0.1776, 0.1776)
Rh (0.3474, 0.8224, 0.8224)
Rh (0.9163, 0.3498, 0.3498)
Rh (0.3498, 0.9163, 0.3498)
Rh (0.3498, 0.3498, 0.9163)
Rh (0.6502, 0.6502, 0.0837)
Rh (0.0837, 0.6502, 0.6502)
Rh (0.1776, 0.1776, 0.6526)
La (0.3833, 0.3833, 0.3833)
La (0.6167, 0.6167, 0.6167)
Dy (0.0000, 0.0000, 0.0000)
P (0.5000, 0.0000, 0.0000)
P (0.0000, 0.5000, 0.0000)
P (0.0000, 0.0000, 0.5000)

---

YRu2Cl | PBE | optimized geometry

Properties
- ρ (g cm⁻³) = 7.3
- VASP energy (eV per atom) = -6.7320
- D(E_F) (states/eV/atom) = 0.83
- energy above the lowest structure with this stoichiometry (meV/atom) = 310.6
- energy relative to the elements, uncorrected (eV/atom) = -0.016
- SG = I4/mmm
- V (Å³ per cell) = 74.4

a b c (Å): 6.1303 6.1303 6.1303
angles (deg): 145.28 145.28 49.91
Atoms (fractional coordinates):
Ru (0.0000, 0.0000, 0.0000)
Ru (0.5000, 0.5000, 0.0000)
Y (0.2500, 0.7500, 0.5000)
Cl (0.7500, 0.2500, 0.5000)

---

LiCoS2 | PBE | optimized geometry

Properties
- ρ (g cm⁻³) = 3.1
- VASP energy (eV per atom) = -4.8631
- D(E_F) (states/eV/atom) = 0.00
- energy above the lowest structure with this stoichiometry (meV/atom) = 199.1
- energy relative to the elements, uncorrected (eV/atom) = -0.544
- SG = R-3m
- V (Å³ per cell) = 69.3

a b c (Å): 7.1251 7.1251 7.1251
angles (deg): 27.77 27.77 27.77
Atoms (fractional coordinates):
Li (0.0000, 0.0000, 0.0000)
S (0.8883, 0.8883, 0.8883)
S (0.1117, 0.1117, 0.1117)
Co (0.5000, 0.5000, 0.5000)

---

LaHoH | PBE | optimized geometry

Properties
- ρ (g cm⁻³) = 7.4
- VASP energy (eV per atom) = -4.4968
- D(E_F) (states/eV/atom) = 1.09
- energy above the lowest structure with this stoichiometry (meV/atom) = 0.0
- SG = P3m1
- V (Å³ per cell) = 68.8

a b c (Å): 3.6722 3.6722 5.8906
angles (deg): 90.00 90.00 120.00
Atoms (fractional coordinates):
Ho (0.3333, 0.6667, 0.5653)
H (0.6667, 0.3333, 0.3512)
La (0.0000, 0.0000, 0.0835)

---

Er8Tm2Sc3 | PBE | optimized geometry

Properties
- ρ (g cm⁻³) = 7.6
- energy relative to the elements (eV/atom) = 0.231
- VASP energy (eV per atom) = -4.7263
- D(E_F) (states/eV/atom) = 1.55
- energy above the lowest structure with this stoichiometry (meV/atom) = 35.9
- SG = Cmmm
- V (Å³ per cell) = 393.5

a b c (Å): 5.4533 7.4590 10.3700
angles (deg): 111.10 90.00 90.00
Atoms (fractional coordinates):
Er (0.5000, 0.8135, 0.2055)
Er (0.5000, 0.3918, 0.2056)
Er (0.0000, 0.1272, 0.2545)
Er (0.9999, 0.3349, 0.6700)
Er (0.5000, 0.6082, 0.7944)
Er (0.0001, 0.6651, 0.3300)
Er (0.0000, 0.8728, 0.7455)
Er (0.5000, 0.1865, 0.7945)
Sc (0.5000, 0.0000, 0.0000)
Sc (0.0000, 0.2907, 0.0000)
Sc (0.0000, 0.7093, 0.0000)
Tm (0.4999, 0.2400, 0.4799)
Tm (0.5001, 0.7600, 0.5201)